The following is a DFT calculation (PBE) of LaGd2Pd after structural relaxation.

a b c (Å): 3.606 3.606 8.794
angles (deg): 90.00 90.00 90.00
Space group P4/mmm (No. 123)
Asymmetric unit:
La: 0.000 0.000 0.000 [1 per cell]
Gd: 0.500 0.500 0.308 [2 per cell]
Pd: 0.000 0.000 0.500 [1 per cell]

Properties
* crystal system: tetragonal
* E: -9.962 eV/atom
* calculated formation energy: -0.392 eV/atom